Entry from the Alexandria database: Ba5Pb2O after structural relaxation (PBE).

Output
theoretical density	5.445	g cm⁻³
raw formation energy	-811	meV per atom

Unit cell a=5.8388 b=7.3586 c=17.2759 alpha=90.00 beta=90.00 gamma=113.37
With the nearest neighbours (Å) after each atom.
Sites, in units of the cell vectors:
Ba 0.3887 0.7773 0.1331  1 O 2.77
Ba 0.1092 0.2184 0.1324  1 O 2.77
O 0.2487 0.4973 0.2500  6 Ba 2.77-2.92
Pb 0.2500 0.5000 0.5472  2 Pb 3.34, 3 Ba 3.50-3.64
Ba 0.1092 0.2184 0.3676  1 O 2.77
Ba 0.8908 0.7816 0.6324  1 O 2.77
Pb 0.7500 0.5000 0.0472  2 Pb 3.34, 3 Ba 3.50-3.64
Ba 0.6113 0.2227 0.8669  1 O 2.77
Ba 0.6113 0.2227 0.6331  1 O 2.77
Pb 0.7500 0.5000 0.4528  2 Pb 3.34, 3 Ba 3.50-3.64
O 0.7513 0.5027 0.7500  6 Ba 2.77-2.92
Pb 0.2500 0.5000 0.9528  2 Pb 3.34, 3 Ba 3.50-3.64
Ba 0.2517 0.5033 0.7500  2 O 2.92
Ba 0.7483 0.4967 0.2500  2 O 2.92
Ba 0.3887 0.7773 0.3669  1 O 2.77
Ba 0.8908 0.7816 0.8676  1 O 2.77